The following is a DFT calculation (PBE) of a relaxed SbPd2F crystal.

a = 4.4781 Å, b = 4.4781 Å, c = 4.4781 Å
α = 60.00°, β = 60.00°, γ = 60.00°
Closest atoms and distances in Å follow each position.
Fractional coordinates of all 4 atoms:
Sb 0.0000 0.0000 0.0000  8 Pd 2.74
Pd 0.2500 0.2500 0.2500  4 F 2.74, 4 Sb 2.74
Pd 0.7500 0.7500 0.7500  4 F 2.74, 4 Sb 2.74
F 0.5000 0.5000 0.5000  8 Pd 2.74

## Properties
- formation energy from raw total energies (eV/atom) = -0.642